DFT (PBE) results for K4Sm3InS8 after structural relaxation.

Calculated density (Mg/m³): 3.8
Energy relative to the elements, uncorrected (kJ per mole of atoms): -154
E (eV/atom): -4.99
Space-group type: No. 166

abc: 8.187 8.784 8.187
angles: 117.78 120.00 90.00
Positions (direct):
S (0.770, 0.297, 0.026)
S (0.230, 0.703, 0.974)
S (0.256, 0.297, 0.026)
K (0.500, 0.000, 0.000)
In (0.000, 0.500, 0.000)
K (0.000, 0.000, 0.500)
K (0.000, 0.000, 0.000)
K (0.500, 0.000, 0.500)
S (0.265, 0.294, 0.529)
Sm (0.500, 0.500, 0.500)
Sm (0.000, 0.500, 0.500)
Sm (0.500, 0.500, 0.000)
S (0.770, 0.296, 0.540)
S (0.735, 0.706, 0.471)
S (0.230, 0.704, 0.460)
S (0.744, 0.703, 0.974)